Entry 1:
# NaReRuC2, optimized geometry, DFT PBE
# - DOS at the Fermi energy: 0.519 states/eV/atom
# - Energy of formation: 234.3 kJ per mole of atoms
# - Total DFT energy (no corrections): -0.216 Ha/atom
data_NaReRuC2
_chemical_formula_sum 'Na1 Re1 Ru1 C2'
_cell_length_a 3.975
_cell_length_b 3.975
_cell_length_c 5.117
_cell_angle_alpha 90.00
_cell_angle_beta 90.00
_cell_angle_gamma 90.00
_symmetry_space_group_name_H-M 'P 4/m m m'
_symmetry_Int_Tables_number 123
_symmetry_space_group_name_Hall '-P 4 2'
loop_
_atom_site_label
_atom_site_type_symbol
_atom_site_fract_x
_atom_site_fract_y
_atom_site_fract_z
Na1 Na 0.000 0.000 0.000
Re1 Re 0.500 0.500 0.000
Ru1 Ru 0.000 0.000 0.500
C1 C 0.000 0.500 0.500

***

Entry 2:
# Na2ReCS, optimized geometry, DFT PBE
# - DOS at the Fermi energy: 1.283 states/eV/atom
# - Total DFT energy (no corrections): -0.148 Ha/atom
# - Raw formation energy: 1669 meV/atom
data_Na2ReCS
_chemical_formula_sum 'Na2 Re1 C1 S1'
_cell_length_a 5.981
_cell_length_b 5.981
_cell_length_c 4.346
_cell_angle_alpha 90.00
_cell_angle_beta 90.00
_cell_angle_gamma 90.00
_symmetry_space_group_name_H-M 'P 4/m m m'
_symmetry_Int_Tables_number 123
_symmetry_space_group_name_Hall '-P 4 2'
loop_
_atom_site_label
_atom_site_type_symbol
_atom_site_fract_x
_atom_site_fract_y
_atom_site_fract_z
Na1 Na 0.000 0.500 0.000
Re1 Re 0.000 0.000 0.000
C1 C 0.500 0.500 0.500
S1 S 0.000 0.000 0.500